[1]
# SbPdSI2 | Alexandria via LeMat-Bulk | PBE-GGA | optimized geometry
data_SbPdSI2
_chemical_formula_sum 'Sb1 Pd1 S1 I2'
_cell_length_a 5.620
_cell_length_b 5.620
_cell_length_c 5.119
_cell_angle_alpha 90.00
_cell_angle_beta 90.00
_cell_angle_gamma 90.00
_space_group_name_H-M_alt 'P 4/m m m'
_space_group_IT_number 123
_space_group_name_Hall '-P 4 2'
loop_
_atom_site_label
_atom_site_type_symbol
_atom_site_fract_x
_atom_site_fract_y
_atom_site_fract_z
Sb1 Sb 0.000 0.000 0.000
Pd1 Pd 0.500 0.500 0.000
S1 S 0.000 0.000 0.500
I1 I 0.000 0.500 0.500
# **Relative energy among the computed polymorphs**: 245.2 meV per atom
# **E_form (uncorrected)**: 0.79 eV per atom
# **V**: 162 Å³/cell

***

[2]
# SbPdSI2 | Alexandria via LeMat-Bulk | PBE-GGA | optimized geometry
data_SbPdSI2
_chemical_formula_sum 'Sb1 Pd1 S1 I2'
_cell_length_a 5.365
_cell_length_b 5.365
_cell_length_c 5.289
_cell_angle_alpha 90.00
_cell_angle_beta 90.00
_cell_angle_gamma 90.00
_space_group_name_H-M_alt 'P 4/m m m'
_space_group_IT_number 123
_space_group_name_Hall '-P 4 2'
loop_
_atom_site_label
_atom_site_type_symbol
_atom_site_fract_x
_atom_site_fract_y
_atom_site_fract_z
Sb1 Sb 0.000 0.000 0.000
Pd1 Pd 0.000 0.000 0.500
S1 S 0.500 0.500 0.000
I1 I 0.000 0.500 0.500
# **Relative energy among the computed polymorphs**: 0.0 meV per atom
# **E_form (uncorrected)**: 0.55 eV per atom
# **V**: 152 Å³/cell

***

[3]
# Te2PdSI | Alexandria via LeMat-Bulk | PBE-GGA | optimized geometry
data_Te2PdSI
_chemical_formula_sum 'Te2 Pd1 S1 I1'
_cell_length_a 5.297
_cell_length_b 5.297
_cell_length_c 5.300
_cell_angle_alpha 90.00
_cell_angle_beta 90.00
_cell_angle_gamma 90.00
_space_group_name_H-M_alt 'P 4/m m m'
_space_group_IT_number 123
_space_group_name_Hall '-P 4 2'
loop_
_atom_site_label
_atom_site_type_symbol
_atom_site_fract_x
_atom_site_fract_y
_atom_site_fract_z
Te1 Te 0.000 0.500 0.000
Pd1 Pd 0.000 0.000 0.000
S1 S 0.500 0.500 0.500
I1 I 0.000 0.000 0.500
# **Relative energy among the computed polymorphs**: 0.0 meV per atom
# **E_form (uncorrected)**: 0.62 eV per atom
# **V**: 149 Å³/cell

***

[4]
# Te2PdSI | Alexandria via LeMat-Bulk | PBE-GGA | optimized geometry
data_Te2PdSI
_chemical_formula_sum 'Te2 Pd1 S1 I1'
_cell_length_a 5.238
_cell_length_b 5.238
_cell_length_c 5.434
_cell_angle_alpha 90.00
_cell_angle_beta 90.00
_cell_angle_gamma 90.00
_space_group_name_H-M_alt 'P 4/m m m'
_space_group_IT_number 123
_space_group_name_Hall '-P 4 2'
loop_
_atom_site_label
_atom_site_type_symbol
_atom_site_fract_x
_atom_site_fract_y
_atom_site_fract_z
Te1 Te 0.000 0.500 0.000
Pd1 Pd 0.000 0.000 0.500
S1 S 0.500 0.500 0.000
I1 I 0.500 0.500 0.500
# **Relative energy among the computed polymorphs**: 148.0 meV per atom
# **E_form (uncorrected)**: 0.77 eV per atom
# **V**: 149 Å³/cell

***

[5]
# U2PdS4I | Alexandria via LeMat-Bulk | PBE-GGA | optimized geometry
data_U2PdS4I
_chemical_formula_sum 'U4 Pd2 S8 I2'
_cell_length_a 11.514
_cell_length_b 3.952
_cell_length_c 9.687
_cell_angle_alpha 90.00
_cell_angle_beta 115.43
_cell_angle_gamma 90.00
_space_group_name_H-M_alt 'C 1 2/m 1'
_space_group_IT_number 12
loop_
_space_group_symop_operation_xyz
'x,y,z'
'-x,-y,-z'
'-x,y,-z'
'x,-y,z'
'x+1/2,y+1/2,z'
'-x+1/2,-y+1/2,-z'
'-x+1/2,y+1/2,-z'
'x+1/2,-y+1/2,z'
loop_
_atom_site_label
_atom_site_type_symbol
_atom_site_fract_x
_atom_site_fract_y
_atom_site_fract_z
U1 U 0.210 0.000 0.298
Pd1 Pd 0.000 0.000 0.500
S1 S 0.120 0.500 0.414
S2 S 0.168 0.000 0.765
I1 I 0.000 0.500 0.000
# **E_form (uncorrected)**: -0.96 eV per atom
# **V**: 398 Å³/cell

***

[6]
# VPdSI2 | Alexandria via LeMat-Bulk | PBE-GGA | optimized geometry
data_VPdSI2
_chemical_formula_sum 'V1 Pd1 S1 I2'
_cell_length_a 5.292
_cell_length_b 5.292
_cell_length_c 5.252
_cell_angle_alpha 90.00
_cell_angle_beta 90.00
_cell_angle_gamma 90.00
_space_group_name_H-M_alt 'P 4/m m m'
_space_group_IT_number 123
_space_group_name_Hall '-P 4 2'
loop_
_atom_site_label
_atom_site_type_symbol
_atom_site_fract_x
_atom_site_fract_y
_atom_site_fract_z
V1 V 0.000 0.000 0.000
Pd1 Pd 0.000 0.000 0.500
S1 S 0.500 0.500 0.000
I1 I 0.000 0.500 0.500
# **E_form (uncorrected)**: 0.84 eV per atom
# **V**: 147 Å³/cell

***

[7]
# SbPdI | Alexandria via LeMat-Bulk | PBE-GGA | optimized geometry
data_SbPdI
_chemical_formula_sum 'Sb1 Pd1 I1'
_cell_length_a 4.0235
_cell_length_b 4.0235
_cell_length_c 5.7797
_cell_angle_alpha 90.00
_cell_angle_beta 90.00
_cell_angle_gamma 120.00
_space_group_name_H-M_alt 'P 3 m 1'
_space_group_IT_number 156
loop_
_space_group_symop_operation_xyz
'x,y,z'
'-y,x-y,z'
'-x+y,-x,z'
'-y,-x,z'
'-x+y,y,z'
'x,x-y,z'
loop_
_atom_site_label
_atom_site_type_symbol
_atom_site_fract_x
_atom_site_fract_y
_atom_site_fract_z
Sb1 Sb 0.0000 0.0000 0.0000
Pd1 Pd 0.3333 0.6667 0.2400
I1 I 0.6667 0.3333 0.5319
# **Relative energy among the computed polymorphs**: 23.2 meV per atom
# **E_form (uncorrected)**: -0.20 eV per atom
# **V**: 81 Å³/cell

***

[8]
# Sb2Pd2I | Alexandria via LeMat-Bulk | PBE-GGA | optimized geometry
data_Sb2Pd2I
_chemical_formula_sum 'Sb4 Pd4 I2'
_cell_length_a 3.987
_cell_length_b 3.987
_cell_length_c 16.368
_cell_angle_alpha 90.00
_cell_angle_beta 90.00
_cell_angle_gamma 90.00
_space_group_name_H-M_alt 'I 4/m m m'
_space_group_IT_number 139
_space_group_name_Hall '-I 4 2'
loop_
_atom_site_label
_atom_site_type_symbol
_atom_site_fract_x
_atom_site_fract_y
_atom_site_fract_z
Sb1 Sb 0.000 0.000 0.139
Pd1 Pd 0.000 0.500 0.250
I1 I 0.000 0.000 0.500
# **Relative energy among the computed polymorphs**: 0.0 meV per atom
# **E_form (uncorrected)**: -0.23 eV per atom
# **V**: 260 Å³/cell

***

[9]
# SbPdI2 | Alexandria via LeMat-Bulk | PBE-GGA | optimized geometry
data_SbPdI2
_chemical_formula_sum 'Sb4 Pd4 I8'
_cell_length_a 5.820
_cell_length_b 5.820
_cell_length_c 16.607
_cell_angle_alpha 90.00
_cell_angle_beta 90.00
_cell_angle_gamma 90.00
_space_group_name_H-M_alt 'I -4 2 d'
_space_group_IT_number 122
_space_group_name_Hall 'I -4 2bw'
loop_
_atom_site_label
_atom_site_type_symbol
_atom_site_fract_x
_atom_site_fract_y
_atom_site_fract_z
Sb1 Sb 0.000 0.000 0.000
Pd1 Pd 0.000 0.000 0.500
I1 I 0.213 0.250 0.625
# **Relative energy among the computed polymorphs**: 0.0 meV per atom
# **E_form (uncorrected)**: 0.31 eV per atom
# **V**: 563 Å³/cell

***

[10]
# Sb2Pd2I | Alexandria via LeMat-Bulk | PBE-GGA | optimized geometry
data_Sb2Pd2I
_chemical_formula_sum 'Sb4 Pd4 I2'
_cell_length_a 8.033
_cell_length_b 8.033
_cell_length_c 3.615
_cell_angle_alpha 90.00
_cell_angle_beta 90.00
_cell_angle_gamma 90.00
_space_group_name_H-M_alt 'P 4/m b m'
_space_group_IT_number 127
_space_group_name_Hall '-P 4 2ab'
loop_
_atom_site_label
_atom_site_type_symbol
_atom_site_fract_x
_atom_site_fract_y
_atom_site_fract_z
Sb1 Sb 0.140 0.360 0.000
Pd1 Pd 0.129 0.629 0.500
I1 I 0.000 0.000 0.500
# **Relative energy among the computed polymorphs**: 131.1 meV per atom
# **E_form (uncorrected)**: -0.10 eV per atom
# **V**: 233 Å³/cell

***

[11]
# Sb2PdI8 | Alexandria via LeMat-Bulk | PBE-GGA | optimized geometry
data_Sb2PdI8
_chemical_formula_sum 'Sb4 Pd2 I16'
_cell_length_a 13.774
_cell_length_b 8.234
_cell_length_c 9.921
_cell_angle_alpha 90.00
_cell_angle_beta 104.26
_cell_angle_gamma 90.00
_space_group_name_H-M_alt 'C 1 2/m 1'
_space_group_IT_number 12
loop_
_space_group_symop_operation_xyz
'x,y,z'
'-x,-y,-z'
'-x,y,-z'
'x,-y,z'
'x+1/2,y+1/2,z'
'-x+1/2,-y+1/2,-z'
'-x+1/2,y+1/2,-z'
'x+1/2,-y+1/2,z'
loop_
_atom_site_label
_atom_site_type_symbol
_atom_site_fract_x
_atom_site_fract_y
_atom_site_fract_z
Sb1 Sb 0.129 0.000 0.387
Pd1 Pd 0.000 0.000 0.000
I1 I 0.113 0.000 0.687
I2 I 0.115 0.228 0.146
I3 I 0.158 0.500 0.522
# **E_form (uncorrected)**: -0.21 eV per atom
# **V**: 1091 Å³/cell

***

[12]
# SbPdI2 | Alexandria via LeMat-Bulk | PBE-GGA | optimized geometry
data_SbPdI2
_chemical_formula_sum 'Sb4 Pd4 I8'
_cell_length_a 7.548
_cell_length_b 7.548
_cell_length_c 7.548
_cell_angle_alpha 90.00
_cell_angle_beta 90.00
_cell_angle_gamma 90.00
_space_group_name_H-M_alt 'F m -3 m'
_space_group_IT_number 225
_space_group_name_Hall '-F 4 2 3'
loop_
_atom_site_label
_atom_site_type_symbol
_atom_site_fract_x
_atom_site_fract_y
_atom_site_fract_z
Sb1 Sb 0.000 0.000 0.000
Pd1 Pd 0.000 0.000 0.500
I1 I 0.250 0.250 0.250
# **Relative energy among the computed polymorphs**: 62.8 meV per atom
# **E_form (uncorrected)**: 0.37 eV per atom
# **V**: 430 Å³/cell